# 1
DFT (GGA-PBE) results for NaMgNi2As2 after structural relaxation.

Computed properties:
Spin magnetization   0.0 μB per formula unit
Electronic total energy   -4.2766 eV/atom
SG   P4mm, No. 99

Cell: 3.931 3.931 6.364 Å, 90.00 90.00 90.00°
Fractional positions:
As 0.000 0.000 0.215
As 0.500 0.500 0.778
Mg 0.000 0.000 0.674
Na 0.500 0.500 0.341
Ni 0.500 0.000 0.996
Ni 0.000 0.500 0.996

***

# 2
DFT (GGA-PBE) results for NaMgAsPd after structural relaxation.

Computed properties:
Electronic total energy   -3.5284 eV/atom
Energy above the most stable polymorph in this dataset   0.000 eV/atom
SG   F-43m, No. 216

Cell: 4.614 4.614 4.614 Å, 60.00 60.00 60.00°
Fractional positions:
As 0.500 0.500 0.500
Mg 0.000 0.000 0.000
Na 0.750 0.750 0.750
Pd 0.250 0.250 0.250

***

# 3
DFT (GGA-PBE) results for NaMgAsPd after structural relaxation.

Computed properties:
Electronic total energy   -3.4918 eV/atom
Energy above the most stable polymorph in this dataset   0.037 eV/atom
SG   F-43m, No. 216

Cell: 4.677 4.677 4.677 Å, 60.00 60.00 60.00°
Fractional positions:
As 0.000 0.000 0.000
Mg 0.250 0.250 0.250
Na 0.750 0.750 0.750
Pd 0.500 0.500 0.500

***

# 4
DFT (GGA-PBE) results for NaMgAsPd after structural relaxation.

Computed properties:
Electronic total energy   -3.4718 eV/atom
Energy above the most stable polymorph in this dataset   0.057 eV/atom
SG   F-43m, No. 216

Cell: 4.642 4.642 4.642 Å, 60.00 60.00 60.00°
Fractional positions:
As 0.250 0.250 0.250
Mg 0.000 0.000 0.000
Na 0.750 0.750 0.750
Pd 0.500 0.500 0.500

***

# 5
DFT (GGA-PBE) results for NaMgAsPt after structural relaxation.

Computed properties:
Spin magnetization   0.0 μB per formula unit
Electronic total energy   -3.7778 eV/atom
Energy above the most stable polymorph in this dataset   0.000 eV/atom
SG   F-43m, No. 216

Cell: 4.596 4.596 4.596 Å, 60.00 60.00 60.00°
Fractional positions:
As 0.250 0.250 0.250
Mg 0.750 0.750 0.750
Na 0.000 0.000 0.000
Pt 0.500 0.500 0.500

***

# 6
DFT (GGA-PBE) results for NaMgAsPt after structural relaxation.

Computed properties:
Spin magnetization   0.0 μB per formula unit
Electronic total energy   -3.6590 eV/atom
Energy above the most stable polymorph in this dataset   0.119 eV/atom
SG   F-43m, No. 216

Cell: 4.662 4.662 4.662 Å, 60.00 60.00 60.00°
Fractional positions:
As 0.000 0.000 0.000
Mg 0.250 0.250 0.250
Na 0.750 0.750 0.750
Pt 0.500 0.500 0.500